Record 1
VASP calculation (PBE-GGA) on a relaxed structure of BaTaBeIr.

## Properties
- DFT total energy: -5.4753 eV per atom
- Energy above the lowest structure with this stoichiometry: 0.403 eV/atom
- ρ: 11.727 g cm⁻³

a = 6.651 Å, b = 6.651 Å, c = 6.651 Å
α = 90.00°, β = 90.00°, γ = 90.00°
Space group F-43m (No. 216)
Symmetry-distinct sites (fractional):
Ba: 0.000 0.000 0.000
Ta: 0.250 0.250 0.750
Be: 0.000 0.000 0.500
Ir: 0.250 0.250 0.250

Record 2
VASP calculation (PBE-GGA) on a relaxed structure of BaTaBeIr.

## Properties
- DFT total energy: -5.8780 eV per atom
- Energy above the lowest structure with this stoichiometry: 0.000 eV/atom
- ρ: 11.560 g cm⁻³

a = 6.683 Å, b = 6.683 Å, c = 6.683 Å
α = 90.00°, β = 90.00°, γ = 90.00°
Space group F-43m (No. 216)
Symmetry-distinct sites (fractional):
Ba: 0.000 0.000 0.000
Ta: 0.250 0.250 0.250
Be: 0.250 0.250 0.750
Ir: 0.000 0.000 0.500

Record 3
VASP calculation (PBE-GGA) on a relaxed structure of BaTaBeIr.

## Properties
- DFT total energy: -5.6808 eV per atom
- Energy above the lowest structure with this stoichiometry: 0.197 eV/atom
- ρ: 10.568 g cm⁻³

a = 6.886 Å, b = 6.886 Å, c = 6.886 Å
α = 90.00°, β = 90.00°, γ = 90.00°
Space group F-43m (No. 216)
Symmetry-distinct sites (fractional):
Ba: 0.000 0.000 0.000
Ta: 0.000 0.000 0.500
Be: 0.250 0.250 0.250
Ir: 0.250 0.250 0.750

Record 4
VASP calculation (PBE-GGA) on a relaxed structure of BaLuBe.

## Properties
- DFT total energy: -2.4577 eV per atom
- ρ: 5.786 g cm⁻³

a = 7.172 Å, b = 7.172 Å, c = 7.172 Å
α = 90.00°, β = 90.00°, γ = 90.00°
Space group F-43m (No. 216)
Symmetry-distinct sites (fractional):
Ba: 0.000 0.000 0.000
Lu: 0.250 0.250 0.250
Be: 0.000 0.000 0.500

Look up the ρ of the second one. 11.560 g cm⁻³

The highest ρ belongs to which entry? number 1

Which value of DFT total energy does entry 2 give? -5.8780 eV per atom